(1)
The following is a PBEsol calculation of a relaxed structure of La2Ag3, from Alexandria via LeMat-Bulk.

Lattice parameters (Å, degrees): 4.9096 4.9096 17.5136 90.00 90.00 120.00
Space group R-3m (No. 166, hexagonal axes)
Symmetry-distinct sites (fractional):
La1 0.0000 0.0000 0.0901 [6 per cell]
Ag1 0.0000 0.0000 0.3310 [6 per cell]
Ag2 0.0000 0.0000 0.5000 [3 per cell]

* ΔE_f: -195 meV per atom
* energy relative to the lowest polymorph listed for this composition: 19 meV per atom
* V: 24.373 Å³/atom

=====

(2)
The following is a PBEsol calculation of a relaxed structure of InPbBr2, from Alexandria via LeMat-Bulk.

Lattice parameters (Å, degrees): 3.7342 3.7342 29.5683 90.00 90.00 120.00
Space group R3m (No. 160, hexagonal axes)
Symmetry-distinct sites (fractional):
In1 0.0000 0.0000 0.0000 [3 per cell]
Pb1 0.0000 0.0000 0.2392 [3 per cell]
Br1 0.0000 0.0000 0.5018 [3 per cell]
Br2 0.0000 0.0000 0.7307 [3 per cell]

* energy relative to the lowest polymorph listed for this composition: 37 meV per atom
* formation energy without anion corrections: -0.40 eV/atom
* V: 29.756 Å³/atom

=====

(3)
The following is a PBEsol calculation of a relaxed structure of Re2Au, from Alexandria via LeMat-Bulk.

Lattice parameters (Å, degrees): 4.3644 4.3644 2.8518 90.00 90.00 120.00
Space group P6/mmm (No. 191)
Symmetry-distinct sites (fractional):
Re1 0.3333 0.6667 0.0000 [2 per cell]
Au1 0.0000 0.0000 0.5000 [1 per cell]

* ΔE_f: 570 meV per atom
* energy relative to the lowest polymorph listed for this composition: 257 meV per atom
* V: 15.682 Å³/atom

=====

(4)
The following is a PBEsol calculation of a relaxed structure of KRe2Sb, from Alexandria via LeMat-Bulk.

Lattice parameters (Å, degrees): 2.859 5.096 10.619 90.00 90.00 90.00
Space group Immm (No. 71)
Symmetry-distinct sites (fractional):
K1 0.000 0.000 0.000 [2 per cell]
Re1 0.000 0.500 0.214 [4 per cell]
Sb1 0.000 0.000 0.500 [2 per cell]

* formation energy without anion corrections: 1.30 eV/atom
* V: 19.341 Å³/atom

=====

(5)
The following is a PBEsol calculation of a relaxed structure of SrRhCl2, from Alexandria via LeMat-Bulk.

Lattice parameters (Å, degrees): 6.795 6.795 6.795 90.00 90.00 90.00
Space group Fm-3m (No. 225)
Symmetry-distinct sites (fractional):
Sr1 0.000 0.000 0.000 [4 per cell]
Rh1 0.000 0.000 0.500 [4 per cell]
Cl1 0.250 0.250 0.250 [8 per cell]

* energy relative to the lowest polymorph listed for this composition: 0 meV per atom
* formation energy without anion corrections: -0.81 eV/atom
* V: 19.609 Å³/atom

=====

(6)
The following is a PBEsol calculation of a relaxed structure of Sc2SbPt, from Alexandria via LeMat-Bulk.

Lattice parameters (Å, degrees): 3.6446 3.6446 26.5990 90.00 90.00 120.00
Space group R-3m (No. 166, hexagonal axes)
Symmetry-distinct sites (fractional):
Sc1 0.0000 0.0000 0.1089 [6 per cell]
Sb1 0.0000 0.0000 0.0000 [3 per cell]
Pt1 0.0000 0.0000 0.5000 [3 per cell]

* formation energy without anion corrections: -0.45 eV/atom
* V: 25.498 Å³/atom

=====

(7)
The following is a PBEsol calculation of a relaxed structure of CuPbW2, from Alexandria via LeMat-Bulk.

Lattice parameters (Å, degrees): 3.151 3.151 6.917 90.00 90.00 90.00
Space group P4/mmm (No. 123)
Symmetry-distinct sites (fractional):
Cu1 0.000 0.000 0.000 [1 per cell]
Pb1 0.000 0.000 0.500 [1 per cell]
W1 0.500 0.500 0.182 [2 per cell]

* ΔE_f: 900 meV per atom
* V: 17.169 Å³/atom

=====

(8)
The following is a PBEsol calculation of a relaxed structure of NbInPt3, from Alexandria via LeMat-Bulk.

Lattice parameters (Å, degrees): 4.783 4.783 4.783 90.00 90.00 90.00
Space group Pm-3m (No. 221)
Symmetry-distinct sites (fractional):
Nb1 0.000 0.000 0.000 [1 per cell]
In1 0.500 0.500 0.500 [1 per cell]
Pt1 0.000 0.500 0.500 [3 per cell]

* ΔE_f: 1351 meV per atom
* V: 21.879 Å³/atom

=====

(9)
The following is a PBEsol calculation of a relaxed structure of MgPtN2F, from Alexandria via LeMat-Bulk.

Lattice parameters (Å, degrees): 3.699 3.699 5.337 90.00 90.00 90.00
Space group P4/mmm (No. 123)
Symmetry-distinct sites (fractional):
Mg1 0.000 0.000 0.000 [1 per cell]
Pt1 0.500 0.500 0.500 [1 per cell]
N1 0.000 0.500 0.500 [2 per cell]
F1 0.500 0.500 0.000 [1 per cell]

* energy relative to the lowest polymorph listed for this composition: 0 meV per atom
* formation energy without anion corrections: 0.19 eV/atom
* V: 14.608 Å³/atom

=====

(10)
The following is a PBEsol calculation of a relaxed structure of CrCuOs2, from Alexandria via LeMat-Bulk.

Lattice parameters (Å, degrees): 5.877 5.877 5.877 90.00 90.00 90.00
Space group Fm-3m (No. 225)
Symmetry-distinct sites (fractional):
Cr1 0.000 0.000 0.000 [4 per cell]
Cu1 0.000 0.000 0.500 [4 per cell]
Os1 0.250 0.250 0.250 [8 per cell]

* ΔE_f: 340 meV per atom
* energy relative to the lowest polymorph listed for this composition: 95 meV per atom
* V: 12.688 Å³/atom

=====

(11)
The following is a PBEsol calculation of a relaxed structure of CuAg2Pt, from Alexandria via LeMat-Bulk.

Lattice parameters (Å, degrees): 2.799 3.753 5.678 90.00 90.00 90.00
Space group Pmm2 (No. 25)
Symmetry-distinct sites (fractional):
Cu1 0.000 0.000 0.000 [1 per cell]
Ag1 0.000 0.000 0.483 [1 per cell]
Ag2 0.500 0.500 0.744 [1 per cell]
Pt1 0.500 0.500 0.219 [1 per cell]

* ΔE_f: 11 meV per atom
* energy relative to the lowest polymorph listed for this composition: 30 meV per atom
* V: 14.911 Å³/atom

=====

(12)
The following is a PBEsol calculation of a relaxed structure of MgCd2Pt, from Alexandria via LeMat-Bulk.

Lattice parameters (Å, degrees): 4.066 4.066 4.294 90.00 90.00 90.00
Space group P4/mmm (No. 123)
Symmetry-distinct sites (fractional):
Mg1 0.000 0.000 0.000 [1 per cell]
Cd1 0.000 0.500 0.500 [2 per cell]
Pt1 0.500 0.500 0.000 [1 per cell]

* ΔE_f: -343 meV per atom
* V: 17.750 Å³/atom

=====

What is the formula in the third record?
Re2Au